No. 1
Here is an optimized crystal structure of LiTm2SeO5 from the Alexandria database. Energies are from PBE.

Cell lengths 5.8247, 6.4082, 6.4082 Å; angles 90.00, 90.00, 90.00 degrees
Closest atoms and distances in Å follow each position.
Positions (direct):
Li 0.0000 0.5000 0.5000  10 O 2.89-2.91, 4 Se 3.20
Li 0.0000 0.0000 0.0000  10 O 2.89-2.91, 4 Se 3.20
Tm 0.5000 0.6755 0.1755  4 O 2.17-2.36
Tm 0.5000 0.1755 0.3245  4 O 2.17-2.36
Tm 0.5000 0.8245 0.6755  4 O 2.17-2.36
Tm 0.5000 0.3245 0.8245  4 O 2.17-2.36
Se 0.0000 0.0000 0.5000  4 O 1.99
Se 0.0000 0.5000 0.0000  4 O 1.99
O 0.5000 0.5000 0.5000  4 Tm 2.36
O 0.5000 0.0000 0.0000  4 Tm 2.36
O 0.2598 0.1420 0.6420  1 Se 1.99, 1 Tm 2.17
O 0.2598 0.8580 0.3580  1 Se 1.99, 1 Tm 2.17
O 0.2598 0.3580 0.1420  1 Se 1.99, 1 Tm 2.17
O 0.2598 0.6420 0.8580  1 Se 1.99, 1 Tm 2.17
O 0.7402 0.1420 0.6420  1 Se 1.99, 1 Tm 2.17
O 0.7402 0.6420 0.8580  1 Se 1.99, 1 Tm 2.17
O 0.7402 0.8580 0.3580  1 Se 1.99, 1 Tm 2.17
O 0.7402 0.3580 0.1420  1 Se 1.99, 1 Tm 2.17

Properties
Its total magnetic moment is 2.016 μB per cell. The formation energy from raw total energies is -2.221 eV/atom. Its symmetry is No. 127. Its calculated volume is 239.2 Å³/cell.

No. 2
Here is an optimized crystal structure of LiTmSeO4 from the Alexandria database. Energies are from PBE.

Cell lengths 7.0700, 6.2720, 6.2720 Å; angles 64.48, 55.69, 55.69 degrees
Closest atoms and distances in Å follow each position.
Positions (direct):
Li 0.5000 0.0000 0.5000  2 O 1.87
Li 0.0000 0.0000 0.5000  2 O 1.87
Tm 0.0000 0.0000 0.0000  6 O 2.21-2.31
Tm 0.0000 0.5000 0.5000  6 O 2.21-2.31
Se 0.5759 0.6741 0.1741  2 O 1.73
Se 0.4241 0.3259 0.8259  2 O 1.73
O 0.7106 0.7431 0.8358  1 Se 1.73
O 0.2894 0.6642 0.7569  1 Se 1.73
O 0.7106 0.3358 0.2431  1 Se 1.73
O 0.2894 0.2569 0.1642  1 Se 1.73
O 0.1848 0.7678 0.2678  1 Li 1.87
O 0.7797 0.7678 0.2678  1 Li 1.87
O 0.2203 0.2322 0.7322  1 Li 1.87
O 0.8152 0.2322 0.7322  1 Li 1.87

Properties
Its total magnetic moment is 0.000 μB per cell. The formation energy from raw total energies is -1.977 eV/atom. Its symmetry is No. 74. Its calculated volume is 187.1 Å³/cell.

No. 3
Here is an optimized crystal structure of LiUSeO2 from the Alexandria database. Energies are from PBE.

Cell lengths 3.7490, 3.7490, 6.5699 Å; angles 106.58, 106.58, 90.00 degrees
Closest atoms and distances in Å follow each position.
Positions (direct):
Li 0.1832 0.1832 0.3665  4 O 2.05
U 0.8381 0.8381 0.6762  4 O 2.14
Se 0.4740 0.4740 0.9481  4 U 3.11, 4 O 3.26
O 0.7523 0.2523 0.5047  2 Li 2.05, 2 U 2.14
O 0.2523 0.7523 0.5047  2 Li 2.05, 2 U 2.14

Properties
Its total magnetic moment is 1.003 μB per cell. The formation energy from raw total energies is -2.277 eV/atom. Its symmetry is No. 107. Its calculated volume is 84.5 Å³/cell.